Compound: AcScZnNi
Source: Alexandria
Functional: PBE
Structure: optimized geometry

a b c (Å): 5.050 5.050 5.050
angles (deg): 60.00 60.00 60.00
Positions (direct):
1 Ac 0.000 0.000 0.000
2 Sc 0.500 0.500 0.500
3 Zn 0.750 0.750 0.750
4 Ni 0.250 0.250 0.250

Summary:
- total magnetic moment (μB/f.u.) = 0.00
- symmetry = No. 216
- calculated total energy (eV per cell) = -18.0
- energy of formation from the pure elements (eV per atom) = -0.1277

***

Compound: BeCdW2
Source: Alexandria
Functional: PBE
Structure: optimized geometry

a b c (Å): 3.046 3.046 6.661
angles (deg): 90.00 90.00 90.00
Positions (direct):
1 Be 0.000 0.000 0.000
2 Cd 0.000 0.000 0.500
3 W 0.500 0.500 0.185
4 W 0.500 0.500 0.815

Summary:
- total magnetic moment (μB/f.u.) = 0.00
- symmetry = No. 123
- calculated total energy (eV per cell) = -28.4
- energy of formation from the pure elements (eV per atom) = 0.5270

***

Compound: AcAl9Ir2
Source: Alexandria
Functional: PBE
Structure: optimized geometry

a b c (Å): 8.159 8.159 4.005
angles (deg): 90.00 90.00 120.00
Positions (direct):
1 Ac 0.000 0.000 0.000
2 Al 0.000 0.500 0.000
3 Al 0.209 0.419 0.500
4 Al 0.209 0.791 0.500
5 Al 0.419 0.209 0.500
6 Al 0.500 0.000 0.000
7 Al 0.500 0.500 0.000
8 Al 0.581 0.791 0.500
9 Al 0.791 0.209 0.500
10 Al 0.791 0.581 0.500
11 Ir 0.333 0.667 0.000
12 Ir 0.667 0.333 0.000

Summary:
- total magnetic moment (μB/f.u.) = 0.00
- symmetry = No. 191
- calculated total energy (eV per cell) = -62.0
- energy of formation from the pure elements (eV per atom) = -0.5420

***

Compound: MnZn2Fe
Source: Alexandria
Functional: PBE
Structure: optimized geometry

a b c (Å): 2.657 2.657 7.383
angles (deg): 90.00 90.00 90.00
Positions (direct):
1 Mn 0.000 0.000 0.000
2 Zn 0.500 0.500 0.253
3 Zn 0.500 0.500 0.747
4 Fe 0.000 0.000 0.500

Summary:
- total magnetic moment (μB/f.u.) = 5.19
- symmetry = No. 123
- calculated total energy (eV per cell) = -20.0
- energy of formation from the pure elements (eV per atom) = 0.0392

***

Compound: Zr3Be2
Source: Alexandria
Functional: PBE
Structure: optimized geometry

a b c (Å): 7.249 5.474 8.125
angles (deg): 60.78 41.22 78.00
Positions (direct):
1 Zr 0.000 0.000 0.000
2 Zr 0.250 0.250 0.250
3 Zr 0.335 0.653 0.465
4 Zr 0.653 0.335 0.547
5 Zr 0.703 0.785 0.597
6 Zr 0.785 0.703 0.915
7 Be 0.128 0.465 0.970
8 Be 0.280 0.812 0.122
9 Be 0.465 0.128 0.438
10 Be 0.812 0.280 0.785

Summary:
- total magnetic moment (μB/f.u.) = 0.00
- symmetry = No. 43
- calculated total energy (eV per cell) = -65.1
- energy of formation from the pure elements (eV per atom) = 0.1084

***

Compound: SbP2OsO
Source: Alexandria
Functional: PBE
Structure: optimized geometry

a b c (Å): 4.958 4.958 3.782
angles (deg): 90.00 90.00 90.00
Positions (direct):
1 Sb 0.000 0.000 0.000
2 P 0.000 0.500 0.000
3 P 0.500 0.000 0.000
4 Os 0.500 0.500 0.500
5 O 0.000 0.000 0.500

Summary:
- total magnetic moment (μB/f.u.) = 1.83
- symmetry = No. 123
- calculated total energy (eV per cell) = -25.2

***

Compound: VAgSe2N
Source: Alexandria
Functional: PBE
Structure: optimized geometry

a b c (Å): 5.133 5.133 3.907
angles (deg): 90.00 90.00 90.00
Positions (direct):
1 V 0.000 0.000 0.000
2 Ag 0.500 0.500 0.500
3 Se 0.000 0.500 0.500
4 Se 0.500 0.000 0.500
5 N 0.500 0.500 0.000

Summary:
- total magnetic moment (μB/f.u.) = 1.68
- symmetry = No. 123
- calculated total energy (eV per cell) = -20.4

***

Compound: NaSbS3
Source: Alexandria
Functional: PBE
Structure: optimized geometry

a b c (Å): 5.073 5.073 5.073
angles (deg): 90.00 90.00 90.00
Positions (direct):
1 Na 0.000 0.000 0.000
2 Sb 0.500 0.500 0.500
3 S 0.000 0.500 0.500
4 S 0.500 0.000 0.500
5 S 0.500 0.500 0.000

Summary:
- total magnetic moment (μB/f.u.) = 0.00
- symmetry = No. 221
- calculated total energy (eV per cell) = -18.2